[1]
A geometry-optimized NbNi2AsBr structure. Source: Alexandria, functional GGA-PBEsol.

Summary:
The value obtained for the raw formation energy is 921 meV/atom. The value obtained for the final energy is -5.1017 eV per atom. Its density of states at the Fermi level is 4.4 states/eV per cell. The space-group type is No. 123.

a b c (Å): 4.250 4.250 5.241
angles (deg): 90.00 90.00 90.00
Element x y z (fractional)
Nb 0.000 0.000 0.000
Ni 0.000 0.500 0.500
Ni 0.500 0.000 0.500
As 0.500 0.500 0.500
Br 0.500 0.500 0.000

---

[2]
A geometry-optimized NbAsSe2Br structure. Source: Alexandria, functional GGA-PBEsol.

Summary:
The value obtained for the raw formation energy is 1249 meV/atom. The value obtained for the final energy is -3.8503 eV per atom. Its density of states at the Fermi level is 4.4 states/eV per cell. The space-group type is No. 123.

a b c (Å): 4.896 4.896 4.984
angles (deg): 90.00 90.00 90.00
Element x y z (fractional)
Nb 0.000 0.000 0.000
As 0.500 0.500 0.000
Se 0.000 0.500 0.500
Se 0.500 0.000 0.500
Br 0.500 0.500 0.500

---

[3]
A geometry-optimized NbAsSeBr2 structure. Source: Alexandria, functional GGA-PBEsol.

Summary:
The value obtained for the raw formation energy is 210 meV/atom. The value obtained for the final energy is -4.4937 eV per atom. Its density of states at the Fermi level is 4.7 states/eV per cell. The space-group type is No. 123.

a b c (Å): 4.888 4.888 5.268
angles (deg): 90.00 90.00 90.00
Element x y z (fractional)
Nb 0.000 0.000 0.000
As 0.000 0.000 0.500
Se 0.500 0.500 0.500
Br 0.000 0.500 0.000
Br 0.500 0.000 0.000

---

[4]
A geometry-optimized NbAsSe2Br structure. Source: Alexandria, functional GGA-PBEsol.

Summary:
The value obtained for the raw formation energy is 748 meV/atom. The value obtained for the final energy is -4.3517 eV per atom. Its density of states at the Fermi level is 4.5 states/eV per cell. The space-group type is No. 123.

a b c (Å): 4.987 4.987 4.905
angles (deg): 90.00 90.00 90.00
Element x y z (fractional)
Nb 0.000 0.000 0.000
As 0.500 0.500 0.500
Se 0.000 0.500 0.500
Se 0.500 0.000 0.500
Br 0.500 0.500 0.000

---

[5]
A geometry-optimized NbAs2WBr structure. Source: Alexandria, functional GGA-PBEsol.

Summary:
The value obtained for the raw formation energy is 1108 meV/atom. The value obtained for the final energy is -6.2344 eV per atom. Its density of states at the Fermi level is 6.0 states/eV per cell. The space-group type is No. 123.

a b c (Å): 4.801 4.801 5.036
angles (deg): 90.00 90.00 90.00
Element x y z (fractional)
Nb 0.000 0.000 0.000
As 0.000 0.500 0.500
As 0.500 0.000 0.500
W 0.500 0.500 0.500
Br 0.500 0.500 0.000

---

[6]
A geometry-optimized YNbAsBr2 structure. Source: Alexandria, functional GGA-PBEsol.

Summary:
The value obtained for the raw formation energy is -168 meV/atom. The value obtained for the final energy is -5.4657 eV per atom. Its density of states at the Fermi level is 4.9 states/eV per cell. The space-group type is No. 123.

a b c (Å): 4.986 4.986 5.116
angles (deg): 90.00 90.00 90.00
Element x y z (fractional)
Y 0.000 0.000 0.000
Nb 0.500 0.500 0.500
As 0.500 0.500 0.000
Br 0.000 0.500 0.500
Br 0.500 0.000 0.500

---

[7]
A geometry-optimized NiAsBr2 structure. Source: Alexandria, functional GGA-PBEsol.

Summary:
The value obtained for the raw formation energy is 568 meV/atom. The value obtained for the final energy is -3.1831 eV per atom. Its density of states at the Fermi level is 9.0 states/eV per cell. The space-group type is No. 119.

a b c (Å): 3.696 3.696 12.687
angles (deg): 90.00 90.00 90.00
Element x y z (fractional)
Ni 0.000 0.000 0.000
Ni 0.500 0.500 0.500
As 0.000 0.500 0.250
As 0.500 0.000 0.750
Br 0.000 0.000 0.500
Br 0.000 0.500 0.750
Br 0.500 0.000 0.250
Br 0.500 0.500 0.000

---

[8]
A geometry-optimized ReNiAs2Br structure. Source: Alexandria, functional GGA-PBEsol.

Summary:
The value obtained for the raw formation energy is 1253 meV/atom. The value obtained for the final energy is -5.0619 eV per atom. Its density of states at the Fermi level is 4.6 states/eV per cell. The space-group type is No. 123.

a b c (Å): 4.510 4.510 4.626
angles (deg): 90.00 90.00 90.00
Element x y z (fractional)
Re 0.000 0.000 0.000
Ni 0.500 0.500 0.500
As 0.000 0.500 0.500
As 0.500 0.000 0.500
Br 0.500 0.500 0.000

---

[9]
A geometry-optimized NiAsRuBr2 structure. Source: Alexandria, functional GGA-PBEsol.

Summary:
The value obtained for the raw formation energy is 989 meV/atom. The value obtained for the final energy is -4.0460 eV per atom. Its density of states at the Fermi level is 7.2 states/eV per cell. The space-group type is No. 123.

a b c (Å): 4.748 4.748 4.524
angles (deg): 90.00 90.00 90.00
Element x y z (fractional)
Ni 0.000 0.000 0.000
As 0.000 0.000 0.500
Ru 0.500 0.500 0.500
Br 0.000 0.500 0.000
Br 0.500 0.000 0.000

---

[10]
A geometry-optimized NiAsSeBr2 structure. Source: Alexandria, functional GGA-PBEsol.

Summary:
The value obtained for the raw formation energy is 331 meV/atom. The value obtained for the final energy is -3.4395 eV per atom. Its density of states at the Fermi level is 3.5 states/eV per cell. The space-group type is No. 123.

a b c (Å): 4.624 4.624 4.857
angles (deg): 90.00 90.00 90.00
Element x y z (fractional)
Ni 0.000 0.000 0.000
As 0.000 0.000 0.500
Se 0.500 0.500 0.500
Br 0.000 0.500 0.000
Br 0.500 0.000 0.000

---

[11]
A geometry-optimized TcNiAs2Br structure. Source: Alexandria, functional GGA-PBEsol.

Summary:
The value obtained for the raw formation energy is 916 meV/atom. The value obtained for the final energy is -4.9853 eV per atom. Its density of states at the Fermi level is 6.4 states/eV per cell. The space-group type is No. 123.

a b c (Å): 4.622 4.622 5.286
angles (deg): 90.00 90.00 90.00
Element x y z (fractional)
Tc 0.000 0.000 0.000
Ni 0.500 0.500 0.500
As 0.000 0.500 0.000
As 0.500 0.000 0.000
Br 0.000 0.000 0.500

---

[12]
A geometry-optimized TiNiAsBr2 structure. Source: Alexandria, functional GGA-PBEsol.

Summary:
The value obtained for the raw formation energy is 334 meV/atom. The value obtained for the final energy is -4.3314 eV per atom. Its density of states at the Fermi level is 7.5 states/eV per cell. The space-group type is No. 123.

a b c (Å): 4.652 4.652 4.781
angles (deg): 90.00 90.00 90.00
Element x y z (fractional)
Ti 0.000 0.000 0.000
Ni 0.500 0.500 0.500
As 0.500 0.500 0.000
Br 0.000 0.500 0.500
Br 0.500 0.000 0.500

---

[13]
A geometry-optimized TlNiAsBr2 structure. Source: Alexandria, functional GGA-PBEsol.

Summary:
The value obtained for the raw formation energy is -69 meV/atom. The value obtained for the final energy is -3.5958 eV per atom. Its density of states at the Fermi level is 4.0 states/eV per cell. The space-group type is No. 123.

a b c (Å): 5.180 5.180 4.439
angles (deg): 90.00 90.00 90.00
Element x y z (fractional)
Tl 0.000 0.000 0.000
Ni 0.500 0.500 0.500
As 0.500 0.500 0.000
Br 0.000 0.500 0.500
Br 0.500 0.000 0.500

---

[14]
A geometry-optimized AsPBr2O structure. Source: Alexandria, functional GGA-PBEsol.

Summary:
The value obtained for the raw formation energy is 774 meV/atom. The value obtained for the final energy is -3.2037 eV per atom. Its density of states at the Fermi level is 3.4 states/eV per cell. The space-group type is No. 123.

a b c (Å): 4.724 4.724 4.183
angles (deg): 90.00 90.00 90.00
Element x y z (fractional)
As 0.000 0.000 0.000
P 0.500 0.500 0.000
Br 0.000 0.500 0.500
Br 0.500 0.000 0.500
O 0.000 0.000 0.500

---

[15]
A geometry-optimized As3Pb5BrO12 structure. Source: Alexandria, functional GGA-PBEsol.

Summary:
The value obtained for the raw formation energy is -1283 meV/atom. The value obtained for the final energy is -6.0530 eV per atom. Its density of states at the Fermi level is 0.0 states/eV per cell. The space-group type is No. 176.

a b c (Å): 10.393 10.393 7.340
angles (deg): 90.00 90.00 120.00
Element x y z (fractional)
As 0.031 0.411 0.250
As 0.380 0.969 0.250
As 0.411 0.380 0.750
As 0.589 0.620 0.250
As 0.620 0.031 0.750
As 0.969 0.589 0.750
Pb 0.017 0.756 0.250
Pb 0.244 0.261 0.250
Pb 0.261 0.017 0.750
Pb 0.333 0.667 0.505
Pb 0.333 0.667 0.995
Pb 0.667 0.333 0.005
Pb 0.667 0.333 0.495
Pb 0.739 0.983 0.250
Pb 0.756 0.739 0.750
Pb 0.983 0.244 0.750
Br 0.000 0.000 0.000
Br 0.000 0.000 0.500
O 0.096 0.361 0.064
O 0.096 0.361 0.436
O 0.126 0.604 0.250
O 0.157 0.659 0.750
O 0.265 0.904 0.064
O 0.265 0.904 0.436
O 0.341 0.497 0.750
O 0.361 0.265 0.564
O 0.361 0.265 0.936
O 0.396 0.523 0.250
O 0.477 0.874 0.250
O 0.497 0.157 0.250
O 0.503 0.843 0.750
O 0.523 0.126 0.750
O 0.604 0.477 0.750
O 0.639 0.735 0.064
O 0.639 0.735 0.436
O 0.659 0.503 0.250
O 0.735 0.096 0.564
O 0.735 0.096 0.936
O 0.843 0.341 0.250
O 0.874 0.396 0.750
O 0.904 0.639 0.564
O 0.904 0.639 0.936

---

[16]
A geometry-optimized As3Pb2BrO6 structure. Source: Alexandria, functional GGA-PBEsol.

Summary:
The value obtained for the raw formation energy is -1200 meV/atom. The value obtained for the final energy is -5.9234 eV per atom. Its density of states at the Fermi level is 0.0 states/eV per cell. The space-group type is No. 11.

a b c (Å): 8.368 5.378 10.483
angles (deg): 90.00 108.57 90.00
Element x y z (fractional)
As 0.098 0.250 0.180
As 0.106 0.250 0.843
As 0.233 0.250 0.584
As 0.767 0.750 0.416
As 0.894 0.750 0.157
As 0.902 0.750 0.820
Pb 0.343 0.750 0.389
Pb 0.473 0.750 0.785
Pb 0.527 0.250 0.215
Pb 0.657 0.250 0.611
Br 0.293 0.750 0.066
Br 0.707 0.250 0.934
O 0.020 0.504 0.264
O 0.020 0.996 0.264
O 0.272 0.250 0.769
O 0.302 0.250 0.299
O 0.381 0.007 0.593
O 0.381 0.493 0.593
O 0.619 0.507 0.407
O 0.619 0.993 0.407
O 0.698 0.750 0.701
O 0.728 0.750 0.231
O 0.980 0.004 0.736
O 0.980 0.496 0.736

---

[17]
A geometry-optimized AsPdBr2O structure. Source: Alexandria, functional GGA-PBEsol.

Summary:
The value obtained for the raw formation energy is 740 meV/atom. The value obtained for the final energy is -3.2709 eV per atom. Its density of states at the Fermi level is 5.0 states/eV per cell. The space-group type is No. 123.

a b c (Å): 5.070 5.070 4.695
angles (deg): 90.00 90.00 90.00
Element x y z (fractional)
As 0.000 0.000 0.000
Pd 0.000 0.000 0.500
Br 0.000 0.500 0.500
Br 0.500 0.000 0.500
O 0.500 0.500 0.000

---

[18]
A geometry-optimized Pr4AsBrO8 structure. Source: Alexandria, functional GGA-PBEsol.

Summary:
The value obtained for the raw formation energy is -2851 meV/atom. The value obtained for the final energy is -7.8300 eV per atom. Its density of states at the Fermi level is 0.0 states/eV per cell. The space-group type is No. 84.

a b c (Å): 8.343 8.343 13.242
angles (deg): 90.00 90.00 90.00
Element x y z (fractional)
Pr 0.014 0.244 0.168
Pr 0.014 0.244 0.832
Pr 0.244 0.517 0.332
Pr 0.244 0.517 0.668
Pr 0.244 0.986 0.332
Pr 0.244 0.986 0.668
Pr 0.483 0.244 0.168
Pr 0.483 0.244 0.832
Pr 0.517 0.756 0.168
Pr 0.517 0.756 0.832
Pr 0.756 0.014 0.332
Pr 0.756 0.014 0.668
Pr 0.756 0.483 0.332
Pr 0.756 0.483 0.668
Pr 0.986 0.756 0.168
Pr 0.986 0.756 0.832
As 0.044 0.252 0.500
As 0.252 0.956 0.000
As 0.748 0.044 0.000
As 0.956 0.748 0.500
Br 0.253 0.439 0.000
Br 0.439 0.747 0.500
Br 0.561 0.253 0.500
Br 0.747 0.561 0.000
O 0.000 0.000 0.250
O 0.000 0.000 0.750
O 0.000 0.500 0.239
O 0.000 0.500 0.761
O 0.070 0.748 0.394
O 0.070 0.748 0.606
O 0.085 0.834 0.000
O 0.166 0.085 0.500
O 0.166 0.419 0.500
O 0.249 0.256 0.270
O 0.249 0.256 0.730
O 0.252 0.070 0.106
O 0.252 0.070 0.894
O 0.256 0.751 0.230
O 0.256 0.751 0.770
O 0.419 0.834 0.000
O 0.500 0.000 0.261
O 0.500 0.000 0.739
O 0.500 0.500 0.250
O 0.500 0.500 0.750
O 0.581 0.166 0.000
O 0.744 0.249 0.230
O 0.744 0.249 0.770
O 0.748 0.930 0.106
O 0.748 0.930 0.894
O 0.751 0.744 0.270
O 0.751 0.744 0.730
O 0.834 0.581 0.500
O 0.834 0.915 0.500
O 0.915 0.166 0.000
O 0.930 0.252 0.394
O 0.930 0.252 0.606

---

[19]
A geometry-optimized As2RhBrO structure. Source: Alexandria, functional GGA-PBEsol.

Summary:
The value obtained for the raw formation energy is 814 meV/atom. The value obtained for the final energy is -4.2797 eV per atom. Its density of states at the Fermi level is 5.2 states/eV per cell. The space-group type is No. 123.

a b c (Å): 4.628 4.628 5.170
angles (deg): 90.00 90.00 90.00
Element x y z (fractional)
As 0.000 0.500 0.000
As 0.500 0.000 0.000
Rh 0.000 0.000 0.000
Br 0.000 0.000 0.500
O 0.500 0.500 0.500

---

[20]
A geometry-optimized As2SeBrO structure. Source: Alexandria, functional GGA-PBEsol.

Summary:
The value obtained for the raw formation energy is 1672 meV/atom. The value obtained for the final energy is -2.5645 eV per atom. Its density of states at the Fermi level is 8.1 states/eV per cell. The space-group type is No. 123.

a b c (Å): 5.104 5.104 5.051
angles (deg): 90.00 90.00 90.00
Element x y z (fractional)
As 0.000 0.500 0.000
As 0.500 0.000 0.000
Se 0.000 0.000 0.500
Br 0.000 0.000 0.000
O 0.500 0.500 0.500

---

[21]
A geometry-optimized As2SeBrO structure. Source: Alexandria, functional GGA-PBEsol.

Summary:
The value obtained for the raw formation energy is 513 meV/atom. The value obtained for the final energy is -3.7235 eV per atom. Its density of states at the Fermi level is 3.5 states/eV per cell. The space-group type is No. 123.

a b c (Å): 4.580 4.580 4.361
angles (deg): 90.00 90.00 90.00
Element x y z (fractional)
As 0.000 0.500 0.000
As 0.500 0.000 0.000
Se 0.000 0.000 0.500
Br 0.500 0.500 0.500
O 0.000 0.000 0.000

---

[22]
A geometry-optimized ZnAsBr2O structure. Source: Alexandria, functional GGA-PBEsol.

Summary:
The value obtained for the raw formation energy is 743 meV/atom. The value obtained for the final energy is -2.3928 eV per atom. Its density of states at the Fermi level is 3.4 states/eV per cell. The space-group type is No. 123.

a b c (Å): 4.947 4.947 4.933
angles (deg): 90.00 90.00 90.00
Element x y z (fractional)
Zn 0.000 0.000 0.000
As 0.000 0.000 0.500
Br 0.000 0.500 0.000
Br 0.500 0.000 0.000
O 0.500 0.500 0.500

---

[23]
A geometry-optimized As4OsBr structure. Source: Alexandria, functional GGA-PBEsol.

Summary:
The value obtained for the raw formation energy is 1127 meV/atom. The value obtained for the final energy is -4.6251 eV per atom. Its density of states at the Fermi level is 5.1 states/eV per cell. The space-group type is No. 216.

a b c (Å): 5.415 5.415 5.415
angles (deg): 60.00 60.00 60.00
Element x y z (fractional)
As 0.125 0.125 0.125
As 0.125 0.125 0.624
As 0.125 0.624 0.125
As 0.624 0.125 0.125
Os 0.500 0.500 0.500
Br 0.750 0.750 0.750